VASP calculation (PBE with a Hubbard U) on crystalline Cr6Pb4F19 at its relaxed geometry.

Calculated values
Its final energy is -5.64 eV/atom. The theoretical density is 5.577 g/cm³. Its space group is No. 197. For the density of states at the Fermi level, the calculation gives 5.4 states/eV/f.u. As for the size of the total moment: 0.846 μB/atom.

abc: 8.343 8.343 8.343
angles: 109.47 109.47 109.47
Positions (direct):
Cr: 0.173 0.673 0.500
Cr: 0.327 0.500 0.827
Cr: 0.500 0.173 0.673
Cr: 0.500 0.827 0.327
Cr: 0.673 0.500 0.173
Cr: 0.827 0.327 0.500
Pb: 0.000 0.000 0.693
Pb: 0.000 0.693 0.000
Pb: 0.307 0.307 0.307
Pb: 0.693 0.000 0.000
F: 0.000 0.000 0.000
F: 0.000 0.341 0.341
F: 0.000 0.659 0.659
F: 0.020 0.335 0.728
F: 0.272 0.606 0.292
F: 0.292 0.272 0.606
F: 0.314 0.980 0.708
F: 0.335 0.728 0.020
F: 0.341 0.000 0.341
F: 0.341 0.341 0.000
F: 0.394 0.665 0.686
F: 0.606 0.292 0.272
F: 0.659 0.000 0.659
F: 0.659 0.659 0.000
F: 0.665 0.686 0.394
F: 0.686 0.394 0.665
F: 0.708 0.314 0.980
F: 0.728 0.020 0.335
F: 0.980 0.708 0.314